An optimized crystal structure of Na3AlB. Source: Alexandria via LeMat-Bulk, functional GGA-PBE.

Geometry as CIF:
```
data_Na3AlB
_symmetry_space_group_name_H-M 'P m -3 m'
_symmetry_Int_Tables_number 221
_symmetry_space_group_name_Hall '-P 4 2 3'
_cell_length_a 5.120
_cell_length_b 5.120
_cell_length_c 5.120
_cell_angle_alpha 90.00
_cell_angle_beta 90.00
_cell_angle_gamma 90.00
loop_
_atom_site_label
_atom_site_fract_x
_atom_site_fract_y
_atom_site_fract_z
Na1 0.000 0.000 0.500
Al1 0.500 0.500 0.500
B1 0.000 0.000 0.000
```

Calculated values
For the formation energy, the calculation gives 907 meV per atom. For the size of the total moment, the calculation gives 1.0 μB per cell.

=====

An optimized crystal structure of La5NdSm. Source: Alexandria via LeMat-Bulk, functional GGA-PBE.

Geometry as CIF:
```
data_La5NdSm
_symmetry_space_group_name_H-M 'C 1 2/c 1'
_symmetry_Int_Tables_number 15
_cell_length_a 12.215
_cell_length_b 7.046
_cell_length_c 12.769
_cell_angle_alpha 90.00
_cell_angle_beta 112.19
_cell_angle_gamma 90.00
loop_
_symmetry_equiv_pos_as_xyz
'x,y,z'
'-x,-y,-z'
'-x,y,-z+1/2'
'x,-y,z+1/2'
'x+1/2,y+1/2,z'
'-x+1/2,-y+1/2,-z'
'-x+1/2,y+1/2,-z+1/2'
'x+1/2,-y+1/2,z+1/2'
loop_
_atom_site_label
_atom_site_fract_x
_atom_site_fract_y
_atom_site_fract_z
La1 0.000 0.085 0.250
La2 0.077 0.232 0.000
La3 0.220 0.130 0.753
Nd1 0.250 0.250 0.500
Sm1 0.000 0.470 0.750
```

Calculated values
For the formation energy, the calculation gives 124 meV per atom. For the size of the total moment, the calculation gives 0.0 μB per cell.

=====

An optimized crystal structure of LiScN2F. Source: Alexandria via LeMat-Bulk, functional GGA-PBE.

Geometry as CIF:
```
data_LiScN2F
_symmetry_space_group_name_H-M 'P 4/m m m'
_symmetry_Int_Tables_number 123
_symmetry_space_group_name_Hall '-P 4 2'
_cell_length_a 4.177
_cell_length_b 4.177
_cell_length_c 4.166
_cell_angle_alpha 90.00
_cell_angle_beta 90.00
_cell_angle_gamma 90.00
loop_
_atom_site_label
_atom_site_fract_x
_atom_site_fract_y
_atom_site_fract_z
Li1 0.000 0.000 0.000
Sc1 0.500 0.500 0.500
N1 0.000 0.500 0.500
F1 0.500 0.500 0.000
```

Calculated values
For the formation energy without anion corrections, the calculation gives -0.518 eV per atom. For the size of the total moment, the calculation gives 1.1 μB per cell.

=====

An optimized crystal structure of Li2Ac2In. Source: Alexandria via LeMat-Bulk, functional GGA-PBE.

Geometry as CIF:
```
data_Li2Ac2In
_symmetry_space_group_name_H-M 'P -3 m 1'
_symmetry_Int_Tables_number 164
_symmetry_space_group_name_Hall '-P 3 2"'
_cell_length_a 4.6520
_cell_length_b 4.6520
_cell_length_c 8.2673
_cell_angle_alpha 90.00
_cell_angle_beta 90.00
_cell_angle_gamma 120.00
loop_
_atom_site_label
_atom_site_fract_x
_atom_site_fract_y
_atom_site_fract_z
Li1 0.3333 0.6667 0.0755
Ac1 0.3333 0.6667 0.6835
In1 0.0000 0.0000 0.0000
```

Calculated values
For the formation energy, the calculation gives -83 meV per atom. For the size of the total moment, the calculation gives 0.9 μB per cell.

=====

no.,V (Å³/cell)
1,134.25
2,1017.56
3,72.68
4,154.94